1.
Material: Li2VSn4
Method: DFT, PBE
State: optimized geometry

Calculated values
**Calculated formation energy**: 5.7 kJ/mol of atoms
**Calculated volume**: 26.05 Å³/atom
**Magnetic moment**: 0.00 Bohr magnetons per cell

Structure (POSCAR):
```
Li2VSn4
1.0
5.109 0.000 0.000
0.000 5.109 0.000
2.554 2.554 6.987
Sn Li V
4 2 1
direct
0.000 0.500 0.000
0.500 0.000 0.000
0.187 0.187 0.626
0.813 0.813 0.374
0.384 0.384 0.233
0.616 0.616 0.767
0.000 0.000 0.000
```

2.
Material: CrAgTe2
Method: DFT, PBE
State: optimized geometry

Calculated values
**Calculated volume**: 28.64 Å³/atom
**ΔE_f (raw)**: 0.118 eV per atom
**Magnetic moment**: 3.58 Bohr magnetons per cell

Structure (POSCAR):
```
CrAgTe2
1.0
3.788 0.000 0.000
0.000 4.794 0.374
0.000 4.175 6.633
Cr Te Ag
1 2 1
direct
0.500 0.750 0.750
0.000 0.252 0.524
0.000 0.248 0.976
0.500 0.250 0.250
```

3.
Material: ErTmGeAu
Method: DFT, PBE
State: optimized geometry

Calculated values
**Calculated formation energy**: -83.7 kJ/mol of atoms
**Calculated volume**: 23.13 Å³/atom
**Polymorph energy (0 for the lowest one)**: 0.0 meV/atom
**Magnetic moment**: 0.00 Bohr magnetons per cell

Structure (POSCAR):
```
ErTmGeAu
1.0
4.012 0.000 0.000
0.000 4.269 0.000
-2.006 0.000 5.401
Ge Au Er Tm
1 1 1 1
direct
0.587 0.500 0.173
0.414 0.000 0.828
0.860 0.500 0.720
0.139 0.000 0.278
```

4.
Material: Ca6S5
Method: DFT, PBE
State: optimized geometry

Calculated values
**Calculated volume**: 25.23 Å³/atom
**ΔE_f (raw)**: -1.919 eV per atom
**Magnetic moment**: 0.00 Bohr magnetons per cell

Structure (POSCAR):
```
Ca6S5
1.0
-6.058 -3.218 1.298
1.149 -6.809 1.010
0.161 4.406 5.409
Ca S
6 5
direct
0.249 0.585 0.668
0.249 0.917 0.332
0.750 0.751 0.000
0.751 0.415 0.332
0.250 0.249 0.000
0.751 0.083 0.668
0.000 0.333 0.667
0.500 0.833 0.666
0.500 0.500 0.000
0.500 0.167 0.334
0.000 0.667 0.333
```

5.
Material: CeNd3Ho2Er6
Method: DFT, PBE
State: optimized geometry

Calculated values
**Calculated formation energy**: 3.4 kJ/mol of atoms
**Calculated volume**: 31.72 Å³/atom
**Magnetic moment**: 1.14 Bohr magnetons per cell

Structure (POSCAR):
```
CeNd3Ho2Er6
1.0
-4.426 -3.731 2.130
5.933 -1.460 0.844
-0.514 7.465 9.032
Er Nd Ho Ce
6 3 2 1
direct
0.751 0.751 0.247
0.918 0.587 0.754
0.413 0.082 0.246
0.082 0.413 0.246
0.249 0.249 0.753
0.587 0.918 0.754
0.168 0.832 0.500
0.500 0.500 0.500
0.832 0.168 0.500
0.667 0.333 0.000
0.333 0.667 0.000
0.000 0.000 0.000
```

6.
Material: Ba5Y4
Method: DFT, PBE
State: optimized geometry

Calculated values
**Calculated formation energy**: 20.3 kJ/mol of atoms
**Calculated volume**: 46.00 Å³/atom
**Polymorph energy (0 for the lowest one)**: 0.0 meV/atom
**Magnetic moment**: 1.72 Bohr magnetons per cell

Structure (POSCAR):
```
Ba5Y4
1.0
-6.176 6.176 2.713
6.176 -6.176 2.713
6.176 6.176 -2.713
Y Ba
4 5
direct
0.362 0.000 0.362
0.000 0.362 0.362
0.638 0.000 0.638
0.000 0.638 0.638
0.000 0.000 0.000
0.671 0.671 0.342
0.329 0.329 0.658
0.671 0.329 0.000
0.329 0.671 0.000
```

7.
Material: Sc2GaSi3Ir4
Method: DFT, PBE
State: optimized geometry

Calculated values
**Calculated volume**: 16.40 Å³/atom
**ΔE_f (raw)**: -0.880 eV per atom
**Magnetic moment**: 0.00 Bohr magnetons per cell

Structure (POSCAR):
```
Sc2GaSi3Ir4
1.0
-3.115 2.374 1.068
-2.431 -2.057 -2.517
-2.281 -6.305 7.357
Ir Sc Si Ga
4 2 3 1
direct
0.500 0.000 0.639
0.500 0.500 0.000
0.000 0.000 0.000
0.000 0.500 0.361
0.500 0.000 0.247
0.000 0.500 0.753
0.500 0.000 0.870
0.000 0.500 0.130
0.000 0.000 0.500
0.500 0.500 0.500
```

8.
Material: SrSbH2
Method: DFT, PBE
State: optimized geometry

Calculated values
**Calculated volume**: 17.07 Å³/atom
**Polymorph energy (0 for the lowest one)**: 49.1 meV/atom
**Magnetic moment**: 0.00 Bohr magnetons per cell

Structure (POSCAR):
```
SrSbH2
1.0
0.000 3.244 3.244
3.244 0.000 3.244
3.244 3.244 0.000
Sr H Sb
1 2 1
direct
0.000 0.000 0.000
0.750 0.750 0.750
0.250 0.250 0.250
0.500 0.500 0.500
```

9.
Material: Pa2InGa2
Method: DFT, PBE
State: optimized geometry

Calculated values
**Calculated formation energy**: -20.7 kJ/mol of atoms
**Calculated volume**: 22.59 Å³/atom
**Magnetic moment**: 1.29 Bohr magnetons per cell

Structure (POSCAR):
```
Pa2InGa2
1.0
4.502 0.000 0.000
0.000 7.084 0.000
0.000 0.000 7.084
Pa Ga In
4 4 2
direct
0.000 0.668 0.332
0.000 0.332 0.668
0.000 0.168 0.168
0.000 0.832 0.832
0.500 0.628 0.628
0.500 0.372 0.372
0.500 0.872 0.128
0.500 0.128 0.872
0.500 0.000 0.500
0.500 0.500 0.000
```

10.
Material: Cd12Ag5Sb3
Method: DFT, PBE
State: optimized geometry

Calculated values
**Calculated volume**: 29.27 Å³/atom
**ΔE_f (raw)**: 0.228 eV per atom
**Magnetic moment**: 0.00 Bohr magnetons per cell

Structure (POSCAR):
```
Cd12Ag5Sb3
1.0
-3.473 -10.923 8.862
-2.372 -3.978 -13.728
13.993 3.344 1.710
Cd Ag Sb
48 20 12
direct
0.576 0.944 0.666
0.924 0.834 0.556
0.944 0.576 0.166
0.424 0.369 0.590
0.278 0.410 0.834
0.369 0.944 0.778
0.869 0.590 0.924
0.444 0.778 0.869
0.590 0.869 0.424
0.834 0.924 0.056
0.334 0.556 0.424
0.556 0.334 0.924
0.410 0.278 0.334
0.222 0.556 0.631
0.056 0.631 0.722
0.722 0.590 0.166
0.090 0.166 0.222
0.166 0.076 0.944
0.166 0.090 0.722
0.278 0.869 0.944
0.631 0.056 0.222
0.556 0.222 0.131
0.834 0.910 0.278
0.924 0.090 0.869
0.910 0.834 0.778
0.631 0.576 0.910
0.369 0.424 0.090
0.778 0.444 0.369
0.131 0.410 0.076
0.666 0.222 0.590
0.576 0.631 0.410
0.590 0.722 0.666
0.076 0.910 0.131
0.222 0.666 0.090
0.410 0.131 0.576
0.722 0.131 0.056
0.334 0.778 0.410
0.869 0.278 0.444
0.444 0.666 0.076
0.666 0.444 0.576
0.056 0.424 0.834
0.944 0.369 0.278
0.090 0.924 0.369
0.131 0.722 0.556
0.778 0.334 0.910
0.424 0.056 0.334
0.076 0.166 0.444
0.910 0.076 0.631
0.750 0.625 0.375
0.500 0.000 0.000
0.000 0.000 0.000
0.750 0.125 0.875
0.625 0.750 0.875
0.500 0.500 0.500
0.000 0.500 0.500
0.500 0.500 0.000
0.375 0.250 0.125
0.625 0.875 0.250
0.375 0.125 0.750
0.125 0.375 0.250
0.500 0.000 0.500
0.000 0.000 0.500
0.250 0.875 0.125
0.250 0.375 0.625
0.875 0.250 0.625
0.875 0.625 0.750
0.125 0.750 0.375
0.000 0.500 0.000
0.625 0.375 0.750
0.875 0.125 0.250
0.875 0.750 0.125
0.125 0.875 0.750
0.250 0.625 0.875
0.625 0.250 0.375
0.250 0.125 0.375
0.375 0.750 0.625
0.750 0.375 0.125
0.125 0.250 0.875
0.375 0.625 0.250
0.750 0.875 0.625
```

11.
Material: NaReSb2I
Method: DFT, PBE
State: optimized geometry

Calculated values
**Calculated volume**: 32.85 Å³/atom
**Polymorph energy (0 for the lowest one)**: 0.0 meV/atom
**ΔE_f (raw)**: 0.294 eV per atom
**Magnetic moment**: 0.00 Bohr magnetons per cell

Structure (POSCAR):
```
NaReSb2I
1.0
5.102 0.000 0.000
0.000 5.102 0.000
0.000 0.000 6.310
Sb Re Na I
2 1 1 1
direct
0.000 0.500 0.000
0.500 0.000 0.000
0.000 0.000 0.000
0.500 0.500 0.500
0.000 0.000 0.500
```

12.
Material: Sr4Ca2Sb3F2
Method: DFT, PBE
State: optimized geometry

Calculated values
**Calculated volume**: 29.92 Å³/atom
**ΔE_f (raw)**: -1.678 eV per atom
**Magnetic moment**: 0.00 Bohr magnetons per cell

Structure (POSCAR):
```
Sr4Ca2Sb3F2
1.0
5.075 0.000 0.000
0.000 5.075 0.000
-2.537 -2.537 12.780
Sr Sb Ca F
4 3 2 2
direct
0.583 0.083 0.166
0.917 0.417 0.834
0.083 0.583 0.166
0.417 0.917 0.834
0.177 0.177 0.353
0.823 0.823 0.647
0.000 0.000 0.000
0.299 0.299 0.597
0.701 0.701 0.403
0.606 0.606 0.213
0.394 0.394 0.787
```